Density functional theory data (PBE) for a relaxed AlV2Br crystal.

The structure in CIF format:
```
data_AlV2Br
_chemical_formula_sum 'Al4 V8 Br4'
_cell_length_a 7.017
_cell_length_b 7.017
_cell_length_c 5.802
_cell_angle_alpha 90.00
_cell_angle_beta 90.00
_cell_angle_gamma 90.00
_space_group_name_H-M_alt 'I -4 2 d'
_space_group_IT_number 122
_space_group_name_Hall 'I -4 2bw'
loop_
_atom_site_label
_atom_site_fract_x
_atom_site_fract_y
_atom_site_fract_z
_atom_site_occupancy
Al1 0.000 0.000 0.000 1
V1 0.217 0.750 0.625 1
Br1 0.000 0.000 0.500 1
```

Theoretical density ... 4.9 g cm⁻³
DFT total energy ... -82.8 eV per cell